(1)
Compound: CuSbHSe2
Source: the Alexandria database
Functional: PBE
Structure: optimized geometry

Results
Magnetization   0.00 μB/f.u.
Calculated total energy   -16.23 eV for the cell shown
V   21.42 A^3/atom

Unit cell a=5.335 b=3.763 c=5.335 alpha=90.00 beta=90.00 gamma=90.00
Positions (direct):
Sb  0.000  0.000  0.000
Cu  0.500  0.500  0.500
Se  0.000  0.000  0.500
Se  0.500  0.000  0.000
H  0.000  0.500  0.000

---

(2)
Compound: Mn2CuPb
Source: the Alexandria database
Functional: PBE
Structure: optimized geometry

Results
Magnetization   7.05 μB/f.u.
ΔE_f   165 kJ/mol of formula units
Calculated total energy   -24.44 eV for the cell shown
V   16.59 A^3/atom

Unit cell a=5.093 b=5.093 c=5.093 alpha=134.26 beta=134.56 gamma=66.45
Positions (direct):
Cu  0.250  0.750  0.500
Mn  0.999  0.999  0.000
Mn  0.750  0.250  0.500
Pb  0.501  0.501  0.000

---

(3)
Compound: KPW2
Source: the Alexandria database
Functional: PBE
Structure: optimized geometry

Results
Magnetization   0.00 μB/f.u.
ΔE_f   721 kJ/mol of formula units
Calculated total energy   -24.94 eV for the cell shown
V   15.92 A^3/atom

Unit cell a=4.483 b=4.483 c=4.483 alpha=60.00 beta=60.00 gamma=60.00
Positions (direct):
P  0.000  0.000  0.000
K  0.500  0.500  0.500
W  0.250  0.250  0.250
W  0.750  0.750  0.750

---

(4)
Compound: Cs2BiF
Source: the Alexandria database
Functional: PBE
Structure: optimized geometry

Results
Magnetization   0.00 μB/f.u.
Uncorrected formation energy   -1.36 eV/atom
Calculated total energy   -12.92 eV for the cell shown
V   33.76 A^3/atom

Unit cell a=3.691 b=3.691 c=9.915 alpha=90.00 beta=90.00 gamma=90.00
Positions (direct):
Cs  0.000  0.000  0.815
Cs  0.000  0.000  0.185
Bi  0.500  0.500  0.500
F  0.500  0.500  0.000

---

(5)
Compound: Ta2FeMo
Source: the Alexandria database
Functional: PBE
Structure: optimized geometry

Results
Magnetization   1.24 μB/f.u.
ΔE_f   10 kJ/mol of formula units
Calculated total energy   -42.90 eV for the cell shown
V   15.93 A^3/atom

Unit cell a=4.341 b=2.776 c=5.346 alpha=81.50 beta=90.00 gamma=90.00
Positions (direct):
Fe  0.500  0.250  0.250
Mo  0.500  0.750  0.750
Ta  0.000  0.001  0.003
Ta  0.000  0.499  0.497

---

(6)
Compound: CaYBr2
Source: the Alexandria database
Functional: PBE
Structure: optimized geometry

Results
Magnetization   0.18 μB/f.u.
Uncorrected formation energy   -1.04 eV/atom
Calculated total energy   -15.98 eV for the cell shown
V   30.42 A^3/atom

Unit cell a=3.907 b=3.907 c=9.644 alpha=90.00 beta=90.00 gamma=124.23
Positions (direct):
Y  0.500  0.500  0.750
Ca  0.500  0.500  0.250
Br  0.000  0.000  0.995
Br  0.000  0.000  0.505

---

(7)
Compound: YAs2Pb
Source: the Alexandria database
Functional: PBE
Structure: optimized geometry

Results
Magnetization   0.00 μB/f.u.
ΔE_f   -197 kJ/mol of formula units
Calculated total energy   -21.51 eV for the cell shown
V   23.76 A^3/atom

Unit cell a=4.981 b=4.981 c=3.860 alpha=90.01 beta=90.01 gamma=97.19
Positions (direct):
Pb  0.500  0.000  0.500
Y  0.000  0.500  0.500
As  0.000  0.000  0.000
As  0.500  0.500  0.000

---

(8)
Compound: YAs2IN
Source: the Alexandria database
Functional: PBE
Structure: optimized geometry

Results
Magnetization   0.00 μB/f.u.
Uncorrected formation energy   0.25 eV/atom
Calculated total energy   -24.41 eV for the cell shown
V   19.86 A^3/atom

Unit cell a=4.610 b=4.673 c=4.610 alpha=90.00 beta=90.00 gamma=90.00
Positions (direct):
I  0.000  0.500  0.000
Y  0.500  0.500  0.500
As  0.000  0.000  0.500
As  0.500  0.000  0.000
N  0.000  0.000  0.000